1.
4
Lattice="4.4380 0.0000 0.0000 0.0000 4.4380 0.0000 0.0000 0.0000 4.6162" Properties=species:S:1:pos:R:3 comment="ScSn2Ge, optimized geometry, DFT PBE-GGA" dft_energy_ev_per_cell=-19.96 magnetic_moment_mub_per_cell=0.0 spacegroup="P4/mmm (123)" pbc="T T T"
Sc 0.0000 0.0000 0.0000
Sn 0.0000 2.2190 2.3081
Sn 2.2190 0.0000 2.3081
Ge 2.2190 2.2190 0.0000

***

2.
14
Lattice="-4.2408 4.2408 4.1832 4.2408 -4.2408 4.1832 4.2408 4.2408 -4.1832" Properties=species:S:1:pos:R:3 comment="Sc4SnGe2, optimized geometry, DFT PBE-GGA" dft_energy_ev_per_cell=-87.68 magnetic_moment_mub_per_cell=0.0 spacegroup="I-42d (122)" pbc="T T T"
Sc 5.7134 0.6053 0.5289
Sc 3.6356 2.7683 -1.5626
Sc 0.6053 2.7683 -0.5289
Sc 0.6053 1.4725 2.6205
Sc 3.6356 1.4725 3.6542
Sc 1.4725 -0.6053 5.7458
Sc 2.7683 4.8461 1.5626
Sc -1.4725 3.6356 4.7121
Sn 0.0000 0.0000 0.0000
Sn 0.0000 4.2408 2.0916
Ge 2.1204 -1.1101 3.1374
Ge 3.1308 2.1204 1.0458
Ge 2.1204 5.3509 -1.0458
Ge 1.1101 2.1204 5.2290

***

3.
11
Lattice="4.0697 -5.0758 0.0000 4.0697 5.0758 0.0000 0.0000 0.0000 6.5015" Properties=species:S:1:pos:R:3 comment="Sc7Sn2Ge2, optimized geometry, DFT PBE-GGA" dft_energy_ev_per_cell=-66.12 magnetic_moment_mub_per_cell=1.9 spacegroup="Cmmm (65)" pbc="T T T"
Sc 0.0000 0.0000 0.0000
Sc 2.0349 2.5379 1.7040
Sc 2.0349 2.5379 4.7975
Sc 2.0349 -2.5379 1.7040
Sc 2.0349 -2.5379 4.7975
Sc 4.0697 0.0000 1.6338
Sc 4.0697 0.0000 4.8677
Sn 1.4891 0.0000 3.2508
Sn 6.6504 0.0000 3.2508
Ge 4.0697 2.2649 0.0000
Ge 4.0697 -2.2649 0.0000